# 1
DFT (PBE-GGA) results for a relaxed structure of In4AuCl.

The structure in POSCAR format:
```
In4AuCl
1.0
0.0000 4.3462 4.3462
4.3462 0.0000 4.3462
4.3462 4.3462 0.0000
In Cl Au
4 1 1
Cartesian
5.4286 5.4286 3.2638 In
3.2638 3.2638 3.2638 In
3.2638 5.4286 5.4286 In
5.4286 3.2638 5.4286 In
0.0000 0.0000 0.0000 Cl
6.5193 6.5193 6.5193 Au
```

formation energy (no corrections): 0.052 eV/atom
N(E_F): 1.8 states/eV/cell

=====

# 2
DFT (PBE-GGA) results for a relaxed structure of InAu2Cl.

The structure in POSCAR format:
```
InAu2Cl
1.0
3.9133 0.0000 0.0000
0.0000 3.9299 0.0000
0.0000 0.0000 5.7178
Au In Cl
2 1 1
Cartesian
0.0000 0.0000 5.6511 Au
0.0000 0.0000 2.9256 Au
1.9567 1.9650 4.2883 In
1.9567 1.9650 1.4294 Cl
```

formation energy (no corrections): 0.014 eV/atom
N(E_F): 1.5 states/eV/cell
energy above the most stable polymorph in this dataset: 217 meV/atom

=====

# 3
DFT (PBE-GGA) results for a relaxed structure of InAu2Cl.

The structure in POSCAR format:
```
InAu2Cl
1.0
6.2814 -0.0124 -0.0086
3.6463 5.1148 0.0086
-4.4366 -3.5771 2.6415
Au Cl In
2 1 1
Cartesian
5.2227 2.6843 0.0000 Au
9.6689 4.9694 0.0000 Au
2.0868 2.0445 1.3251 Cl
3.4044 -0.5191 1.3164 In
```

formation energy (no corrections): -0.126 eV/atom
N(E_F): 1.0 states/eV/cell
energy above the most stable polymorph in this dataset: 77 meV/atom

=====

# 4
DFT (PBE-GGA) results for a relaxed structure of InAu2Cl.

The structure in POSCAR format:
```
InAu2Cl
1.0
0.0000 3.4987 3.4987
3.4987 0.0000 3.4987
3.4987 3.4987 0.0000
Cl Au In
1 2 1
Cartesian
0.0000 0.0000 0.0000 Cl
5.2480 5.2480 5.2480 Au
1.7493 1.7493 1.7493 Au
3.4987 3.4987 3.4987 In
```

formation energy (no corrections): 0.173 eV/atom
N(E_F): 3.6 states/eV/cell
energy above the most stable polymorph in this dataset: 377 meV/atom

=====

# 5
DFT (PBE-GGA) results for a relaxed structure of InAuCl2.

The structure in POSCAR format:
```
InAuCl2
1.0
-0.1345 3.5074 0.6852
-1.3270 -1.1943 5.8531
4.7454 -0.4118 3.0390
Cl Au In
2 1 1
Cartesian
3.5574 -1.4574 8.1582 Cl
1.1461 1.2358 3.2319 Cl
2.3861 0.5985 6.7374 Au
1.3218 -0.8847 4.7879 In
```

formation energy (no corrections): -0.566 eV/atom
N(E_F): 0.3 states/eV/cell
energy above the most stable polymorph in this dataset: 0 meV/atom

=====

# 6
DFT (PBE-GGA) results for a relaxed structure of InAuCl4.

The structure in POSCAR format:
```
InAuCl4
1.0
0.0000 4.2624 4.2624
4.2624 0.0000 4.2624
4.2624 4.2624 0.0000
In Cl Au
1 4 1
Cartesian
6.3937 6.3937 6.3937 In
5.3294 5.3294 3.1955 Cl
3.1955 3.1955 3.1955 Cl
5.3294 3.1955 5.3294 Cl
3.1955 5.3294 5.3294 Cl
0.0000 0.0000 0.0000 Au
```

formation energy (no corrections): 0.432 eV/atom
N(E_F): 1.8 states/eV/cell

=====

# 7
DFT (PBE-GGA) results for a relaxed structure of InAuCl2.

The structure in POSCAR format:
```
InAuCl2
1.0
2.9016 0.0000 7.4553
-1.4508 2.5129 7.4553
-1.4508 -2.5129 7.4553
Cl In Au
2 1 1
Cartesian
0.0000 0.0000 20.0741 Cl
0.0000 0.0000 2.2917 Cl
0.0000 0.0000 11.1829 In
0.0000 0.0000 0.0000 Au
```

formation energy (no corrections): -0.507 eV/atom
N(E_F): 0.0 states/eV/cell
energy above the most stable polymorph in this dataset: 59 meV/atom

=====

# 8
DFT (PBE-GGA) results for a relaxed structure of InAuCl.

The structure in POSCAR format:
```
InAuCl
1.0
4.8336 0.0000 0.0000
2.4168 4.1861 0.0000
2.4168 1.3954 3.9466
Cl In Au
1 1 1
Cartesian
4.8336 2.7907 1.9733 Cl
2.4168 1.3954 0.9867 In
0.0000 0.0000 0.0000 Au
```

formation energy (no corrections): -0.133 eV/atom
N(E_F): 2.3 states/eV/cell
energy above the most stable polymorph in this dataset: 198 meV/atom

=====

> Which of these has the lowest N(E_F)?

number 7